Below is a geometry-optimized Rb2GaBiBr6 structure, with properties calculated at the PBE level.

Structure (extended XYZ):
```
20
Lattice="-5.156 -4.761 -3.814 6.375 -3.925 -3.718 0.430 -7.519 8.675" Properties=species:S:1:pos:R:3 pbc="T T T"
Rb 5.926 -5.648 -1.368
Rb 1.258 -10.369 2.406
Rb -4.276 -10.557 2.510
Rb 0.391 -5.836 -1.264
Ga -2.578 -2.381 -1.907
Ga 3.403 -5.722 2.478
Bi -2.363 -6.140 2.430
Bi 3.188 -1.963 -1.859
Br 2.949 -4.464 -3.303
Br 1.280 -11.031 -1.277
Br -1.300 -11.741 4.446
Br 0.370 -5.174 2.420
Br 3.149 -7.674 0.114
Br 1.266 -14.110 2.263
Br -1.499 -8.531 1.029
Br 0.383 -2.095 -1.121
Br -1.256 -8.205 -3.295
Br 4.449 -11.376 1.251
Br 2.905 -8.001 4.437
Br -2.800 -4.829 -0.109
```

## Properties
Uncorrected energy: -60.692 eV per cell
SG: No. 14
D(E_F): 0.0000 states/eV/atom
ΔE_f (raw): -1147 meV per atom